# Re2SeO (PBE-GGA, optimized geometry)
# ρ = 15.0 Mg/m³
# energy relative to the elements, uncorrected = 0.64 eV per atom
# electronic total energy = -7.69 eV/atom
data_Re2SeO
_chemical_formula_sum 'Re8 Se4 O4'
_cell_length_a 5.919
_cell_length_b 5.919
_cell_length_c 5.919
_cell_angle_alpha 90.00
_cell_angle_beta 90.00
_cell_angle_gamma 90.00
_space_group_name_H-M_alt 'F m -3 m'
_space_group_IT_number 225
_space_group_name_Hall '-F 4 2 3'
loop_
_atom_site_label
_atom_site_type_symbol
_atom_site_fract_x
_atom_site_fract_y
_atom_site_fract_z
Re1 Re 0.250 0.250 0.250
Se1 Se 0.000 0.000 0.000
O1 O 0.000 0.000 0.500